No. 1
This record from Alexandria describes a relaxed structure of PaHg2Au. The functional is PBE-GGA.

Total magnetization = 0.004 Bohr magnetons per cell
Energy above the lowest structure with this stoichiometry = 0 meV per atom
DFT total energy = -13.4 eV/cell
DOS at the Fermi energy = 3.668 states/eV/cell
ΔE_f = -0.02 eV per atom

abc: 5.032 5.032 5.032
angles: 60.00 60.00 60.00
Fractional coordinates of all 4 atoms:
1 Hg 0.250 0.250 0.250
2 Hg 0.750 0.750 0.750
3 Pa 0.000 0.000 0.000
4 Au 0.500 0.500 0.500

***

No. 2
This record from Alexandria describes a relaxed structure of KCu2S2. The functional is PBE-GGA.

Total magnetization = 0.000 Bohr magnetons per cell
Formation energy (no corrections) = -0.5322 eV per atom
DFT total energy = -40.4 eV/cell
DOS at the Fermi energy = 8.747 states/eV/cell

abc: 6.391 6.391 6.390
angles: 108.50 108.50 111.44
Fractional coordinates of all 10 atoms:
1 S 0.558 0.942 0.750
2 S 0.808 0.692 0.250
3 S 0.192 0.308 0.750
4 S 0.442 0.058 0.250
5 Cu 0.498 0.748 0.996
6 Cu 0.502 0.252 0.004
7 Cu 0.752 0.002 0.504
8 Cu 0.248 0.998 0.496
9 K 0.125 0.375 0.250
10 K 0.875 0.625 0.750

***

No. 3
This record from Alexandria describes a relaxed structure of K2CuRh. The functional is PBE-GGA.

Total magnetization = 0.159 Bohr magnetons per cell
Energy above the lowest structure with this stoichiometry = 0 meV per atom
DFT total energy = -12.2 eV/cell
DOS at the Fermi energy = 6.781 states/eV/cell
ΔE_f = 0.36 eV per atom

abc: 4.255 4.255 9.233
angles: 77.21 77.21 60.04
Fractional coordinates of all 4 atoms:
1 Rh 0.542 0.542 0.375
2 K 0.955 0.955 0.125
3 K 0.795 0.795 0.625
4 Cu 0.208 0.208 0.375

***

No. 4
This record from Alexandria describes a relaxed structure of Pu2SbF8. The functional is PBE-GGA.

Total magnetization = 10.019 Bohr magnetons per cell
Formation energy (no corrections) = -3.0819 eV per atom
DFT total energy = -81.7 eV/cell
DOS at the Fermi energy = 18.941 states/eV/cell

abc: 4.406 7.085 7.085
angles: 116.42 93.26 93.26
Fractional coordinates of all 11 atoms:
1 F 0.506 0.647 0.989
2 F 0.037 0.309 0.715
3 F 0.037 0.715 0.309
4 F 0.616 0.044 0.312
5 F 0.297 0.389 0.389
6 F 0.725 0.650 0.650
7 F 0.616 0.312 0.044
8 F 0.506 0.989 0.647
9 Pu 0.533 0.661 0.335
10 Pu 0.533 0.335 0.661
11 Sb 0.593 0.982 0.982

***

No. 5
This record from Alexandria describes a relaxed structure of MnCu. The functional is PBE-GGA.

Total magnetization = 5.768 Bohr magnetons per cell
DFT total energy = -25.4 eV/cell
DOS at the Fermi energy = 4.141 states/eV/cell
ΔE_f = 0.28 eV per atom

abc: 2.585 2.585 8.581
angles: 90.00 90.00 120.00
Fractional coordinates of all 4 atoms:
1 Cu 0.333 0.667 0.250
2 Cu 0.667 0.333 0.750
3 Mn 0.000 0.000 0.000
4 Mn 0.000 0.000 0.500